VASP calculation (PBE) on MnNiAs2 after structural relaxation.

Values from the calculation:
Magnetic moment   0.3992 μB per atom
Energy relative to the lowest polymorph listed for this composition   0.0 meV per atom

Cell: 3.3779 3.3779 4.9709 Å, 90.00 90.00 90.00°
Last column: nearest neighbours and their distance in Å.
Atoms (fractional coordinates):
Mn  0.0000  0.0000  0.0000  6 As 2.35-2.62
Ni  0.5000  0.5000  0.3338  6 As 2.41-2.56
As  0.0000  0.0000  0.4727  2 Mn 2.35-2.62, 4 Ni 2.49
As  0.5000  0.5000  0.8497  2 Ni 2.41-2.56, 4 Mn 2.50